(1)
An optimized crystal structure of Dy3CdAu, computed with PBE.

Calculated values
SG: C2/c (15)

abc: 6.757 6.757 14.385
angles: 76.24 76.24 64.26
Sites, in units of the cell vectors:
Dy (0.181, 0.354, 0.890)
Cd (0.571, 0.285, 0.668)
Dy (0.114, 0.202, 0.675)
Au (0.712, 0.288, 0.250)
Dy (0.354, 0.181, 0.390)
Dy (0.202, 0.114, 0.175)
Cd (0.715, 0.429, 0.832)
Dy (0.792, 0.261, 0.446)
Dy (0.208, 0.739, 0.554)
Dy (0.798, 0.886, 0.825)
Au (0.000, 0.500, 0.500)
Dy (0.261, 0.792, 0.946)
Dy (0.886, 0.798, 0.325)
Dy (0.739, 0.208, 0.054)
Cd (0.429, 0.715, 0.332)
Au (0.288, 0.712, 0.750)
Cd (0.285, 0.571, 0.168)
Dy (0.646, 0.819, 0.610)
Dy (0.819, 0.646, 0.110)
Au (0.500, 0.000, 0.000)

---

(2)
An optimized crystal structure of Dy3CdAu, computed with PBE.

Calculated values
SG: Cmcm (63)

abc: 5.177 5.164 10.139
angles: 90.00 75.21 90.00
Sites, in units of the cell vectors:
Au (0.487, 0.750, 0.675)
Cd (0.978, 0.250, 0.693)
Au (0.162, 0.250, 0.325)
Dy (0.763, 0.250, 0.122)
Dy (0.389, 0.250, 0.869)
Cd (0.670, 0.750, 0.307)
Dy (0.575, 0.250, 0.498)
Dy (0.259, 0.750, 0.131)
Dy (0.073, 0.750, 0.502)
Dy (0.885, 0.750, 0.878)

---

Least stable of them? (1).

---

(1)
An optimized crystal structure of Dy4CdAu2, computed with PBE.

Calculated values
SG: R-3m (166)

abc: 5.091 5.091 8.711
angles: 73.00 73.00 60.01
Sites, in units of the cell vectors:
Au (0.749, 0.749, 0.753)
Dy (0.618, 0.618, 0.145)
Dy (0.870, 0.870, 0.389)
Dy (0.382, 0.382, 0.855)
Cd (0.000, 0.000, 0.000)
Dy (0.130, 0.130, 0.611)
Au (0.251, 0.251, 0.247)

---

(2)
An optimized crystal structure of Dy4CdAu2, computed with PBE.

Calculated values
SG: R-3m (166)

abc: 4.901 4.901 9.910
angles: 75.68 75.68 60.00
Sites, in units of the cell vectors:
Au (0.900, 0.900, 0.301)
Dy (0.385, 0.385, 0.846)
Dy (0.203, 0.203, 0.390)
Au (0.100, 0.100, 0.699)
Cd (0.000, 0.000, 0.000)
Dy (0.615, 0.615, 0.154)
Dy (0.797, 0.797, 0.610)

---

Least stable of them? (2).

---

(1)
An optimized crystal structure of DyHoCdAu, computed with PBE.

Calculated values
SG: F-43m (216)

abc: 5.172 5.172 5.172
angles: 60.00 60.00 60.00
Sites, in units of the cell vectors:
Ho (0.500, 0.500, 0.500)
Dy (0.000, 0.000, 0.000)
Au (0.250, 0.250, 0.250)
Cd (0.750, 0.750, 0.750)

---

(2)
An optimized crystal structure of DyHoCdAu, computed with PBE.

Calculated values
SG: P4mm (99)

abc: 3.671 3.671 7.273
angles: 90.00 90.00 90.00
Sites, in units of the cell vectors:
Cd (0.500, 0.500, 0.109)
Au (0.500, 0.500, 0.604)
Dy (0.000, 0.000, 0.844)
Ho (0.000, 0.000, 0.371)

---

Least stable of them? (1).

---

(1)
An optimized crystal structure of PrDyCdAu, computed with PBE.

Calculated values
SG: P4mm (99)

abc: 3.719 3.719 7.567
angles: 90.00 90.00 90.00
Last column: magnetic moment on the atom in μB.
Sites, in units of the cell vectors:
Dy (0.000, 0.000, 0.339)  0.01
Au (0.500, 0.500, 0.135)  0.01
Cd (0.500, 0.500, 0.589)  0.00
Pr (0.000, 0.000, 0.866)  0.11

---

(2)
An optimized crystal structure of PrDyCdAu, computed with PBE.

Calculated values
SG: F-43m (216)

abc: 5.289 5.289 5.289
angles: 60.00 60.00 60.00
Sites, in units of the cell vectors:
Pr (0.000, 0.000, 0.000)
Au (0.250, 0.250, 0.250)
Dy (0.500, 0.500, 0.500)
Cd (0.750, 0.750, 0.750)

---

Least stable of them? (2).